1 | Tm4InAg: relaxed, PBE-GGA.

Summary:
For the size of the total moment, the calculation gives 0.0 μB/cell. The calculation puts the calculated volume at 355.9 Å³ per cell. Its space group is Cmc2_1.

Unit cell a=10.8776 b=10.8776 c=6.4018 alpha=90.00 beta=90.00 gamma=151.97
With the nearest neighbours (Å) after each atom.
Element x y z (fractional)
Tm: 0.0602 0.9398 0.5000  2 Ag 2.86-3.14
Tm: 0.1956 0.8044 0.7882  1 Ag 2.92, 1 Tm 3.14, 2 In 3.18
Tm: 0.2117 0.7883 0.3011  5 Tm 3.14-3.44, 3 In 3.26-3.30, 1 Ag 3.42
Tm: 0.3733 0.6267 0.5594  2 Ag 2.86, 1 In 3.17
Tm: 0.6267 0.3733 0.0594  2 Ag 2.86, 1 In 3.17
Tm: 0.7883 0.2117 0.8011  5 Tm 3.14-3.44, 3 In 3.26-3.30, 1 Ag 3.42
Tm: 0.8044 0.1956 0.2882  1 Ag 2.92, 1 Tm 3.14, 2 In 3.18
Tm: 0.9398 0.0602 0.0000  2 Ag 2.86-3.14
In: 0.3456 0.6544 0.0462  9 Tm 3.17-3.34
In: 0.6544 0.3456 0.5462  9 Tm 3.17-3.34
Ag: 0.0752 0.9248 0.0127  5 Tm 2.86-3.14
Ag: 0.9248 0.0752 0.5127  5 Tm 2.86-3.14

---

2 | Tm4InAg: relaxed, PBE-GGA.

Summary:
For the size of the total moment, the calculation gives 0.4 μB/cell. The calculation puts the calculated volume at 159.8 Å³ per cell. Its space group is P4/mmm.

Unit cell a=3.5163 b=3.5163 c=12.9272 alpha=90.00 beta=90.00 gamma=90.00
With the nearest neighbours (Å) after each atom.
Element x y z (fractional)
Tm: 0.0000 0.0000 0.1446  4 Ag 3.11
Tm: 0.0000 0.0000 0.8554  4 Ag 3.11
Tm: 0.5000 0.5000 0.3371  4 In 3.26, 8 Tm 3.52
Tm: 0.5000 0.5000 0.6629  4 In 3.26, 8 Tm 3.52
In: 0.0000 0.0000 0.5000  8 Tm 3.26, 4 In 3.52
Ag: 0.5000 0.5000 0.0000  8 Tm 3.11

---

Relative energies in kJ/mol of atoms: 1 18.6; 2 0.0

---

1 | TmInAg3: relaxed, PBE-GGA.

Summary:
For the size of the total moment, the calculation gives 0.0 μB/cell. The calculation puts the calculated volume at 203.3 Å³ per cell. Its space group is P2_1/m.

Unit cell a=5.0227 b=5.0473 c=8.3975 alpha=90.00 beta=107.23 gamma=90.00
With the nearest neighbours (Å) after each atom.
Element x y z (fractional)
Tm: 0.1455 0.2500 0.2929  9 Ag 2.99-3.10, 1 In 3.31
Tm: 0.8545 0.7500 0.7071  9 Ag 2.99-3.10, 1 In 3.31
In: 0.3512 0.2500 0.7053  9 Ag 2.97-3.05, 1 Tm 3.31
In: 0.6488 0.7500 0.2947  9 Ag 2.97-3.05, 1 Tm 3.31
Ag: 0.0466 0.7500 0.0938  4 Ag 2.89-2.94, 2 In 2.97-3.00, 3 Tm 2.99-3.10
Ag: 0.2523 0.7500 0.4992  4 In 2.99-3.02, 4 Tm 3.01-3.02, 2 Ag 3.25-3.33
Ag: 0.4570 0.7500 0.9147  4 Ag 2.87-2.90, 2 Tm 3.01, 3 In 3.03-3.05
Ag: 0.5430 0.2500 0.0853  4 Ag 2.87-2.90, 2 Tm 3.01, 3 In 3.03-3.05
Ag: 0.7477 0.2500 0.5008  4 In 2.99-3.02, 4 Tm 3.01-3.02, 2 Ag 3.25-3.33
Ag: 0.9534 0.2500 0.9062  4 Ag 2.89-2.94, 2 In 2.97-3.00, 3 Tm 2.99-3.10

---

2 | TmInAg3: relaxed, PBE-GGA.

Summary:
For the size of the total moment, the calculation gives 0.0 μB/cell. The calculation puts the calculated volume at 211.6 Å³ per cell. Its space group is P2_1/m.

Unit cell a=5.0103 b=6.4314 c=7.0281 alpha=90.00 beta=110.87 gamma=90.00
With the nearest neighbours (Å) after each atom.
Element x y z (fractional)
Tm: 0.1122 0.2500 0.2263  8 Ag 2.96-3.16, 3 In 3.23-3.29
Tm: 0.8878 0.7500 0.7737  8 Ag 2.96-3.16, 3 In 3.23-3.29
In: 0.1360 0.7500 0.2741  8 Ag 2.84-3.06
In: 0.8640 0.2500 0.7259  8 Ag 2.84-3.06
Ag: 0.3186 0.5076 0.6358  5 Ag 2.83-3.12, 3 In 2.84-3.06, 3 Tm 3.09-3.16
Ag: 0.3186 0.9924 0.6358  5 Ag 2.83-3.12, 3 In 2.84-3.06, 3 Tm 3.09-3.16
Ag: 0.4920 0.2500 0.9856  4 Ag 2.83-2.93, 2 Tm 2.96, 2 In 3.02-3.04
Ag: 0.5080 0.7500 0.0144  4 Ag 2.83-2.93, 2 Tm 2.96, 2 In 3.02-3.04
Ag: 0.6814 0.0076 0.3642  5 Ag 2.83-3.12, 3 In 2.84-3.06, 3 Tm 3.09-3.16
Ag: 0.6814 0.4924 0.3642  5 Ag 2.83-3.12, 3 In 2.84-3.06, 3 Tm 3.09-3.16

---

Relative energies in kJ/mol of atoms: 1 0.0; 2 5.0

---

1 | Tm4In3Ag: relaxed, PBE-GGA.

Summary:
For the size of the total moment, the calculation gives 0.0 μB/cell. The calculation puts the calculated volume at 206.9 Å³ per cell. Its space group is Pmm2.

Unit cell a=3.7067 b=4.7556 c=11.7372 alpha=90.00 beta=90.00 gamma=90.00
With the nearest neighbours (Å) after each atom.
Element x y z (fractional)
Tm: 0.0000 0.0000 0.0000  5 In 3.13-3.22, 2 Ag 3.22
Tm: 0.0000 0.5000 0.2966  4 Ag 3.13, 3 In 3.16-3.23
Tm: 0.5000 0.0000 0.4801  1 Ag 3.01, 4 In 3.18
Tm: 0.5000 0.5000 0.8068  7 In 3.10-3.38
In: 0.0000 0.0000 0.7256  2 In 3.03, 5 Tm 3.16-3.22
In: 0.0000 0.5000 0.5659  2 In 3.03, 7 Tm 3.16-3.38
In: 0.5000 0.5000 0.0708  2 Ag 2.98, 7 Tm 3.10-3.23
Ag: 0.5000 0.0000 0.2239  2 In 2.98, 7 Tm 3.01-3.22

---

2 | Tm4In3Ag: relaxed, PBE-GGA.

Summary:
For the size of the total moment, the calculation gives 0.0 μB/cell. The calculation puts the calculated volume at 200.1 Å³ per cell. Its space group is P4/mmm.

Unit cell a=3.5203 b=3.5203 c=16.1427 alpha=90.00 beta=90.00 gamma=90.00
With the nearest neighbours (Å) after each atom.
Element x y z (fractional)
Tm: 0.0000 0.0000 0.1129  4 Ag 3.08, 4 In 3.23
Tm: 0.0000 0.0000 0.3702  8 In 3.25, 4 Tm 3.52
Tm: 0.0000 0.0000 0.6298  8 In 3.25, 4 Tm 3.52
Tm: 0.0000 0.0000 0.8871  4 Ag 3.08, 4 In 3.23
In: 0.5000 0.5000 0.2407  8 Tm 3.23-3.25, 4 In 3.52
In: 0.5000 0.5000 0.5000  8 Tm 3.25, 4 In 3.52
In: 0.5000 0.5000 0.7593  8 Tm 3.23-3.25, 4 In 3.52
Ag: 0.5000 0.5000 0.0000  8 Tm 3.08

---

Relative energies in kJ/mol of atoms: 1 4.4; 2 0.0

---

1 | Tm4In2Ag: relaxed, PBE-GGA.

Summary:
For the size of the total moment, the calculation gives 0.0 μB/cell. The calculation puts the calculated volume at 384.0 Å³ per cell. Its space group is P2_1/m.

Unit cell a=6.9420 b=6.6035 c=8.8784 alpha=90.00 beta=109.33 gamma=90.00
With the nearest neighbours (Å) after each atom.
Element x y z (fractional)
Tm: 0.0840 0.2500 0.0452  1 Ag 2.89
Tm: 0.1717 0.0081 0.7223  1 Ag 2.88, 2 In 3.09-3.11, 1 Tm 3.19
Tm: 0.1717 0.4919 0.7223  1 Ag 2.88, 2 In 3.09-3.11, 1 Tm 3.19
Tm: 0.3160 0.7500 0.3525  1 Ag 3.13, 4 In 3.17-3.50
Tm: 0.6840 0.2500 0.6475  1 Ag 3.13, 4 In 3.17-3.50
Tm: 0.8283 0.5081 0.2777  1 Ag 2.88, 2 In 3.09-3.11, 1 Tm 3.19
Tm: 0.8283 0.9919 0.2777  1 Ag 2.88, 2 In 3.09-3.11, 1 Tm 3.19
Tm: 0.9160 0.7500 0.9548  1 Ag 2.89
In: 0.2151 0.2500 0.4341  1 Ag 2.74
In: 0.4306 0.7500 0.0351  1 Ag 2.97, 5 Tm 3.17-3.30
In: 0.5694 0.2500 0.9649  1 Ag 2.97, 5 Tm 3.17-3.30
In: 0.7849 0.7500 0.5659  1 Ag 2.74
Ag: 0.4923 0.2500 0.2748  2 In 2.74-2.97, 3 Tm 2.88-2.89
Ag: 0.5077 0.7500 0.7252  2 In 2.74-2.97, 3 Tm 2.88-2.89

---

2 | Tm4In2Ag: relaxed, PBE-GGA.

Summary:
For the size of the total moment, the calculation gives 0.0 μB/cell. The calculation puts the calculated volume at 193.0 Å³ per cell. Its space group is R-3m.

Unit cell a=8.9043 b=8.9043 c=8.9043 alpha=33.64 beta=33.64 gamma=33.64
With the nearest neighbours (Å) after each atom.
Element x y z (fractional)
Tm: 0.1234 0.1234 0.1234  4 In 3.15-3.22, 3 Ag 3.17
Tm: 0.3740 0.3740 0.3740  4 In 3.09-3.15, 1 Ag 3.17
Tm: 0.6260 0.6260 0.6260  4 In 3.09-3.15, 1 Ag 3.17
Tm: 0.8766 0.8766 0.8766  4 In 3.15-3.22, 3 Ag 3.17
In: 0.2512 0.2512 0.2512  8 Tm 3.09-3.22
In: 0.7488 0.7488 0.7488  8 Tm 3.09-3.22
Ag: 0.5000 0.5000 0.5000  8 Tm 3.17

---

Relative energies in kJ/mol of atoms: 1 6.0; 2 0.0

---

1 | Tm4InAg2: relaxed, PBE-GGA.

Summary:
For the size of the total moment, the calculation gives 0.0 μB/cell. The calculation puts the calculated volume at 181.7 Å³ per cell. Its space group is R-3m.

Unit cell a=8.6182 b=8.6182 c=8.6182 alpha=34.35 beta=34.35 gamma=34.35
With the nearest neighbours (Å) after each atom.
Element x y z (fractional)
Tm: 0.1147 0.1147 0.1147  4 Ag 3.01-3.18, 3 In 3.20
Tm: 0.3691 0.3691 0.3691  4 Ag 3.01-3.20, 1 In 3.18
Tm: 0.6309 0.6309 0.6309  4 Ag 3.01-3.20, 1 In 3.18
Tm: 0.8853 0.8853 0.8853  4 Ag 3.01-3.18, 3 In 3.20
In: 0.5000 0.5000 0.5000  8 Tm 3.18-3.20, 6 Ag 3.51
Ag: 0.2454 0.2454 0.2454  8 Tm 3.01-3.20
Ag: 0.7546 0.7546 0.7546  8 Tm 3.01-3.20

---

2 | Tm4InAg2: relaxed, PBE-GGA.

Summary:
For the size of the total moment, the calculation gives 0.0 μB/cell. The calculation puts the calculated volume at 196.7 Å³ per cell. Its space group is R-3m.

Unit cell a=9.8163 b=9.8163 c=9.8163 alpha=29.01 beta=29.01 gamma=29.01
With the nearest neighbours (Å) after each atom.
Element x y z (fractional)
Tm: 0.1203 0.1203 0.1203  3 In 3.13, 3 Ag 3.22
Tm: 0.2953 0.2953 0.2953  4 Ag 2.95
Tm: 0.7047 0.7047 0.7047  4 Ag 2.95
Tm: 0.8797 0.8797 0.8797  3 In 3.13, 3 Ag 3.22
In: 0.5000 0.5000 0.5000  2 Ag 2.82, 6 Tm 3.13
Ag: 0.3998 0.3998 0.3998  1 In 2.82, 4 Tm 2.95
Ag: 0.6002 0.6002 0.6002  1 In 2.82, 4 Tm 2.95

---

Relative energies in kJ/mol of atoms: 1 0.0; 2 14.0

---

1 | VIn3Ag: relaxed, PBE-GGA.

Summary:
For the size of the total moment, the calculation gives 3.9 μB/cell. The calculation puts the calculated volume at 145.4 Å³ per cell. Its space group is Pm-3m.

Unit cell a=5.2584 b=5.2584 c=5.2584 alpha=90.00 beta=90.00 gamma=90.00
With the nearest neighbours (Å) after each atom.
Element x y z (fractional)
V: 0.0000 0.0000 0.0000  12 In 3.72
In: 0.0000 0.5000 0.5000  2 Ag 2.63
In: 0.5000 0.0000 0.5000  2 Ag 2.63
In: 0.5000 0.5000 0.0000  2 Ag 2.63
Ag: 0.5000 0.5000 0.5000  6 In 2.63

---

2 | VIn3Ag: relaxed, PBE-GGA.

Summary:
For the size of the total moment, the calculation gives 0.0 μB/cell. The calculation puts the calculated volume at 139.0 Å³ per cell. Its space group is Pm-3m.

Unit cell a=5.1799 b=5.1799 c=5.1799 alpha=90.00 beta=90.00 gamma=90.00
With the nearest neighbours (Å) after each atom.
Element x y z (fractional)
V: 0.0000 0.0000 0.0000  6 In 2.59
In: 0.0000 0.0000 0.5000  2 V 2.59
In: 0.0000 0.5000 0.0000  2 V 2.59
In: 0.5000 0.0000 0.0000  2 V 2.59
Ag: 0.5000 0.5000 0.5000  12 In 3.66

---

Relative energies in kJ/mol of atoms: 1 15.6; 2 0.0